This record from Alexandria via LeMat-Bulk describes KNdNpO6 after structural relaxation. The functional is GGA-PBE.

a = 6.037 Å, b = 6.037 Å, c = 9.590 Å
α = 90.00°, β = 90.00°, γ = 120.00°
Sites, in units of the cell vectors:
K (0.333, 0.667, 0.250)
K (0.667, 0.333, 0.750)
Nd (0.000, 0.000, 0.000)
Nd (0.000, 0.000, 0.500)
Np (0.333, 0.667, 0.750)
Np (0.667, 0.333, 0.250)
O (0.086, 0.378, 0.628)
O (0.086, 0.708, 0.872)
O (0.292, 0.378, 0.872)
O (0.292, 0.914, 0.628)
O (0.378, 0.086, 0.128)
O (0.378, 0.292, 0.372)
O (0.622, 0.708, 0.628)
O (0.622, 0.914, 0.872)
O (0.708, 0.086, 0.372)
O (0.708, 0.622, 0.128)
O (0.914, 0.292, 0.128)
O (0.914, 0.622, 0.372)

Results
* DOS at the Fermi energy: 1.043 states/eV/atom
* raw total energy: -7.776 eV/atom
* ΔE_f (raw): -2.381 eV/atom

***

This record from Alexandria via LeMat-Bulk describes Sc3Zn2Ir after structural relaxation. The functional is GGA-PBE.

a = 7.318 Å, b = 7.318 Å, c = 3.366 Å
α = 90.00°, β = 90.00°, γ = 142.98°
Sites, in units of the cell vectors:
Sc (0.000, 0.000, 0.000)
Sc (0.342, 0.658, 0.000)
Sc (0.658, 0.342, 0.000)
Zn (0.171, 0.829, 0.500)
Zn (0.829, 0.171, 0.500)
Ir (0.500, 0.500, 0.500)

Results
* DOS at the Fermi energy: 0.595 states/eV/atom
* raw total energy: -5.683 eV/atom

***

This record from Alexandria via LeMat-Bulk describes Pr4MgIn after structural relaxation. The functional is GGA-PBE.

a = 3.506 Å, b = 5.823 Å, c = 9.806 Å
α = 90.00°, β = 90.00°, γ = 90.00°
Sites, in units of the cell vectors:
Pr (0.000, 0.000, 0.192)
Pr (0.000, 0.000, 0.808)
Pr (0.500, 0.500, 0.300)
Pr (0.500, 0.500, 0.700)
Mg (0.500, 0.000, 0.500)
In (0.000, 0.500, 0.000)

Results
* DOS at the Fermi energy: 1.414 states/eV/atom
* raw total energy: -3.893 eV/atom

***

This record from Alexandria via LeMat-Bulk describes ZnIrAu2 after structural relaxation. The functional is GGA-PBE.

a = 10.034 Å, b = 10.034 Å, c = 10.034 Å
α = 158.07°, β = 158.07°, γ = 31.21°
Sites, in units of the cell vectors:
Zn (0.000, 0.000, 0.000)
Zn (0.750, 0.250, 0.500)
Ir (0.250, 0.750, 0.500)
Ir (0.500, 0.500, 0.000)
Au (0.126, 0.625, 0.001)
Au (0.375, 0.376, 0.501)
Au (0.624, 0.125, 0.999)
Au (0.875, 0.874, 0.499)

Results
* DOS at the Fermi energy: 0.690 states/eV/atom
* raw total energy: -3.833 eV/atom

***

This record from Alexandria via LeMat-Bulk describes ScPCl after structural relaxation. The functional is GGA-PBE.

a = 7.224 Å, b = 7.224 Å, c = 7.224 Å
α = 155.03°, β = 155.03°, γ = 35.61°
Sites, in units of the cell vectors:
Sc (0.000, 0.000, 0.000)
P (0.620, 0.620, 0.000)
Cl (0.380, 0.380, 0.000)

Results
* DOS at the Fermi energy: 0.301 states/eV/atom
* raw total energy: -5.478 eV/atom
* ΔE_f (raw): -0.949 eV/atom

***

This record from Alexandria via LeMat-Bulk describes LiPa5P6 after structural relaxation. The functional is GGA-PBE.

a = 6.850 Å, b = 6.850 Å, c = 6.834 Å
α = 99.61°, β = 99.61°, γ = 120.06°
Sites, in units of the cell vectors:
Li (0.000, 0.000, 0.000)
Pa (0.164, 0.836, 0.500)
Pa (0.333, 0.667, 0.000)
Pa (0.500, 0.500, 0.500)
Pa (0.667, 0.333, 0.000)
Pa (0.836, 0.164, 0.500)
P (0.083, 0.413, 0.248)
P (0.249, 0.249, 0.754)
P (0.413, 0.083, 0.248)
P (0.587, 0.917, 0.752)
P (0.751, 0.751, 0.246)
P (0.917, 0.587, 0.752)

Results
* DOS at the Fermi energy: 1.177 states/eV/atom
* raw total energy: -7.980 eV/atom

***

Please write out number 5 again, unchanged.
This record from Alexandria via LeMat-Bulk describes ScPCl after structural relaxation. The functional is GGA-PBE.

a = 7.224 Å, b = 7.224 Å, c = 7.224 Å
α = 155.03°, β = 155.03°, γ = 35.61°
Sites, in units of the cell vectors:
Sc (0.000, 0.000, 0.000)
P (0.620, 0.620, 0.000)
Cl (0.380, 0.380, 0.000)

Results
* DOS at the Fermi energy: 0.301 states/eV/atom
* raw total energy: -5.478 eV/atom
* ΔE_f (raw): -0.949 eV/atom